# 1
The following is a DFT calculation (GGA-PBE) of an optimized crystal structure of Pm7NdHo3.

```
Pm7NdHo3
1.0
-3.8408 -3.6671 -4.1975
3.9899 -7.7601 0.7289
-2.8558 -2.0965 5.5310
Pm Nd Ho
7 1 3
direct
0.7761 0.2098 0.2804
0.7109 0.8590 0.5546
0.2615 0.4141 0.0157
0.7385 0.5859 0.9843
0.0000 0.5000 0.5000
0.2891 0.1410 0.4454
0.2239 0.7902 0.7196
0.5000 0.5000 0.5000
0.0664 0.8373 0.1879
0.5000 0.0000 0.0000
0.9336 0.1627 0.8121
```

# 2
The following is a DFT calculation (GGA-PBE) of an optimized crystal structure of Pm6Nd5Ho.

```
Pm6Nd5Ho
1.0
12.0359 -1.4693 0.0000
1.8527 6.0515 0.0000
0.9263 3.0258 5.4790
Pm Nd Ho
6 5 1
direct
0.7514 0.0822 0.3322
0.2486 0.5856 0.3322
0.2488 0.2501 0.0000
0.7512 0.7499 0.0000
0.7514 0.4144 0.6678
0.2486 0.9178 0.6678
0.5000 0.1665 0.6670
0.0000 0.3333 0.3335
0.5000 0.5000 0.0000
0.0000 0.6667 0.6665
0.5000 0.8335 0.3330
0.0000 0.0000 0.0000
```

# 3
The following is a DFT calculation (GGA-PBE) of an optimized crystal structure of Pm4NdHo7.

```
Pm4NdHo7
1.0
-3.3457 -3.8162 -3.0216
-2.8576 -8.2069 7.7560
-6.6358 1.2204 0.0333
Pm Nd Ho
4 1 7
direct
0.6353 0.2235 0.5059
0.3647 0.7765 0.4941
0.7692 0.6717 0.7898
0.2308 0.3283 0.2102
0.0000 0.0000 0.0000
0.7892 0.9230 0.4986
0.2108 0.0770 0.5014
0.0666 0.6809 0.1859
0.9334 0.3191 0.8141
0.3677 0.4974 0.7673
0.5000 0.0000 0.0000
0.6323 0.5026 0.2327
```

# 4
The following is a DFT calculation (GGA-PBE) of an optimized crystal structure of PmNd2Ho5.

```
PmNd2Ho5
1.0
5.0589 0.0000 0.0000
0.0000 7.1567 0.0000
0.0000 0.0000 14.3186
Pm Nd Ho
2 4 10
direct
0.0000 0.0000 0.5000
0.0000 0.5000 0.0000
0.5000 0.2522 0.6257
0.5000 0.7478 0.3743
0.5000 0.2478 0.1257
0.5000 0.7522 0.8743
0.0000 0.0000 0.0000
0.0000 0.5000 0.5000
0.0000 0.5022 0.7492
0.0000 0.4978 0.2508
0.0000 0.9978 0.2492
0.0000 0.0022 0.7508
0.5000 0.2517 0.8746
0.5000 0.7483 0.1254
0.5000 0.2483 0.3746
0.5000 0.7517 0.6254
```

# 5
The following is a DFT calculation (GGA-PBE) of an optimized crystal structure of PmNd6Ho6.

```
PmNd6Ho6
1.0
6.7366 -0.0004 0.0000
-3.3678 5.8344 0.0000
0.0000 0.0000 11.4526
Pm Nd Ho
1 6 6
direct
0.0000 0.0000 0.0000
0.0000 0.0000 0.6532
0.0000 0.0000 0.3468
0.3333 0.6667 0.0000
0.6667 0.3333 0.0000
0.3333 0.6667 0.5000
0.6667 0.3333 0.5000
0.0000 0.5000 0.7524
0.5000 0.0000 0.7524
0.5000 0.5000 0.7524
0.5000 0.0000 0.2476
0.0000 0.5000 0.2476
0.5000 0.5000 0.2476
```

# 6
The following is a DFT calculation (GGA-PBE) of an optimized crystal structure of Pm3Nd2Ho4.

```
Pm3Nd2Ho4
1.0
-3.1975 -3.7007 -1.4038
-0.3880 -2.5536 7.6156
-3.9184 7.0339 -0.3962
Pm Nd Ho
3 2 4
direct
0.8890 0.3359 0.7779
0.1110 0.6641 0.2221
0.0000 0.0000 0.0000
0.3337 0.9995 0.6674
0.6663 0.0005 0.3326
0.5570 0.3359 0.1141
0.7781 0.6642 0.5562
0.4430 0.6641 0.8859
0.2219 0.3358 0.4438
```

# 7
The following is a DFT calculation (GGA-PBE) of an optimized crystal structure of Pm5Nd12Ho2.

```
Pm5Nd12Ho2
1.0
6.8489 0.0000 -2.2018
-0.9098 8.3233 -2.8301
0.0296 -0.1348 11.8451
Pm Nd Ho
5 12 2
direct
0.7514 0.5097 0.5028
0.6493 0.0959 0.2987
0.0000 0.5000 0.0000
0.3507 0.9041 0.7013
0.2486 0.4903 0.4972
0.8581 0.9416 0.7162
0.4536 0.7936 0.4018
0.9482 0.7936 0.4018
0.3620 0.3838 0.2114
0.8494 0.3838 0.2114
0.5484 0.6960 0.0967
0.4516 0.3040 0.9033
0.6380 0.6162 0.7886
0.1506 0.6162 0.7886
0.5464 0.2064 0.5982
0.0518 0.2064 0.5982
0.1419 0.0584 0.2838
0.7424 0.0000 0.0000
0.2576 0.0000 0.0000
```

# 8
The following is a DFT calculation (GGA-PBE) of an optimized crystal structure of Pm4Nd3Ho.

```
Pm4Nd3Ho
1.0
3.4907 0.0000 -0.4404
-0.1744 6.7867 -1.3822
-0.2637 -1.0995 11.9629
Nd Ho Pm
3 1 4
direct
0.0000 0.5000 0.0000
0.1242 0.8845 0.2483
0.8758 0.1155 0.7517
0.5000 0.0000 0.0000
0.7416 0.2436 0.4831
0.2584 0.7564 0.5169
0.1239 0.3641 0.2477
0.8761 0.6359 0.7523
```

no.,E_form (eV per atom),total DFT energy (no corrections) (Ha/atom),volume (A^3/atom)
1,0.131,-0.1681,34.15
2,0.013,-0.1738,34.50
3,0.259,-0.1614,33.64
4,0.019,-0.1701,32.40
5,0.256,-0.1625,34.62
6,0.019,-0.1712,32.99
7,0.131,-0.1695,35.42
8,0.151,-0.1685,34.65